1.
{
  "formula": "Al3TcB",
  "functional": "PBE",
  "state": "relaxed",
  "polymorph_energy_mev_per_atom": 0.0,
  "delta_e_f_mev_per_atom": 461,
  "sg": "Pm-3m",
  "crystal_system": "cubic",
  "mass_density_g_cm3": 4.50,
  "lattice": [[4.122, 0.000, 0.000], [0.000, 4.122, 0.000], [0.000, 0.000, 4.122]],
  "species": ["Al", "Al", "Al", "Tc", "B"],
  "fractional_positions": [[0.000, 0.000, 0.500], [0.000, 0.500, 0.000], [0.500, 0.000, 0.000], [0.500, 0.500, 0.500], [0.000, 0.000, 0.000]]
}


2.
{
  "formula": "Ca2CePrHg4",
  "functional": "PBE",
  "state": "relaxed",
  "delta_e_f_mev_per_atom": -493,
  "sg": "R-3m",
  "crystal_system": "trigonal",
  "mass_density_g_cm3": 8.67,
  "lattice": [[2.701, 1.559, 8.821], [-2.701, 1.559, 8.821], [0.000, -3.119, 8.821]],
  "species": ["Ca", "Ca", "Ce", "Pr", "Hg", "Hg", "Hg", "Hg"],
  "fractional_positions": [[0.250, 0.250, 0.250], [0.750, 0.750, 0.750], [0.000, 0.000, 0.000], [0.500, 0.500, 0.500], [0.124, 0.124, 0.124], [0.374, 0.374, 0.374], [0.626, 0.626, 0.626], [0.876, 0.876, 0.876]]
}


3.
{
  "formula": "CdInHgPb2",
  "functional": "PBE",
  "state": "relaxed",
  "delta_e_f_mev_per_atom": 45,
  "sg": "P2_1/m",
  "crystal_system": "monoclinic",
  "mass_density_g_cm3": 9.85,
  "lattice": [[7.865, 0.000, 0.000], [0.000, 4.657, 0.000], [-3.353, 0.000, 7.756]],
  "species": ["Cd", "Cd", "In", "In", "Hg", "Hg", "Pb", "Pb", "Pb", "Pb"],
  "fractional_positions": [[0.097, 0.250, 0.102], [0.903, 0.750, 0.898], [0.334, 0.750, 0.683], [0.666, 0.250, 0.317], [0.347, 0.250, 0.458], [0.653, 0.750, 0.542], [0.039, 0.250, 0.691], [0.376, 0.750, 0.073], [0.624, 0.250, 0.927], [0.961, 0.750, 0.309]]
}


4.
{
  "formula": "TlZnAg4",
  "functional": "PBE",
  "state": "relaxed",
  "delta_e_f_mev_per_atom": 152,
  "sg": "F-43m",
  "crystal_system": "cubic",
  "mass_density_g_cm3": 9.43,
  "lattice": [[0.000, 3.952, 3.952], [3.952, 0.000, 3.952], [3.952, 3.952, 0.000]],
  "species": ["Tl", "Zn", "Ag", "Ag", "Ag", "Ag"],
  "fractional_positions": [[0.000, 0.000, 0.000], [0.750, 0.750, 0.750], [0.375, 0.375, 0.375], [0.375, 0.375, 0.874], [0.375, 0.874, 0.375], [0.874, 0.375, 0.375]]
}


5.
{
  "formula": "InTcBiMo2",
  "functional": "PBE",
  "state": "relaxed",
  "delta_e_f_mev_per_atom": 2587,
  "sg": "P4/mmm",
  "crystal_system": "tetragonal",
  "mass_density_g_cm3": 7.18,
  "lattice": [[5.101, 0.000, 0.000], [0.000, 5.101, 0.000], [0.000, 0.000, 5.455]],
  "species": ["In", "Tc", "Bi", "Mo", "Mo"],
  "fractional_positions": [[0.000, 0.000, 0.000], [0.500, 0.500, 0.000], [0.000, 0.000, 0.500], [0.000, 0.500, 0.500], [0.500, 0.000, 0.500]]
}


6.
{
  "formula": "MnVNiIr",
  "functional": "PBE",
  "state": "relaxed",
  "polymorph_energy_mev_per_atom": 159.9,
  "delta_e_f_mev_per_atom": -160,
  "sg": "F-43m",
  "crystal_system": "cubic",
  "mass_density_g_cm3": 11.16,
  "lattice": [[0.000, 2.983, 2.983], [2.983, 0.000, 2.983], [2.983, 2.983, 0.000]],
  "species": ["Mn", "V", "Ni", "Ir"],
  "fractional_positions": [[0.000, 0.000, 0.000], [0.500, 0.500, 0.500], [0.250, 0.250, 0.250], [0.750, 0.750, 0.750]]
}


7.
{
  "formula": "BaWS2",
  "functional": "PBE",
  "state": "relaxed",
  "polymorph_energy_mev_per_atom": 322.2,
  "e_form_raw_ev_per_fu": 0.2,
  "sg": "Fm-3m",
  "crystal_system": "cubic",
  "mass_density_g_cm3": 7.96,
  "lattice": [[0.000, 3.426, 3.426], [3.426, 0.000, 3.426], [3.426, 3.426, 0.000]],
  "species": ["Ba", "W", "S", "S"],
  "fractional_positions": [[0.000, 0.000, 0.000], [0.500, 0.500, 0.500], [0.250, 0.250, 0.250], [0.750, 0.750, 0.750]]
}


8.
{
  "formula": "ScTc2W",
  "functional": "PBE",
  "state": "relaxed",
  "polymorph_energy_mev_per_atom": 208.0,
  "delta_e_f_mev_per_atom": -16,
  "sg": "P2/m",
  "crystal_system": "monoclinic",
  "mass_density_g_cm3": 10.98,
  "lattice": [[2.825, 0.000, 0.000], [0.000, 4.331, 0.000], [-0.738, 0.000, 5.252]],
  "species": ["Sc", "Tc", "Tc", "W"],
  "fractional_positions": [[0.000, 0.000, 0.000], [0.270, 0.500, 0.745], [0.730, 0.500, 0.255], [0.500, 0.000, 0.500]]
}


9.
{
  "formula": "TiCoS2Cl",
  "functional": "PBE",
  "state": "relaxed",
  "polymorph_energy_mev_per_atom": 0.0,
  "e_form_raw_ev_per_fu": -0.3,
  "sg": "P4/mmm",
  "crystal_system": "tetragonal",
  "mass_density_g_cm3": 3.27,
  "lattice": [[4.724, 0.000, 0.000], [0.000, 4.724, 0.000], [0.000, 0.000, 4.690]],
  "species": ["Ti", "Co", "S", "S", "Cl"],
  "fractional_positions": [[0.000, 0.000, 0.000], [0.500, 0.500, 0.500], [0.000, 0.500, 0.000], [0.500, 0.000, 0.000], [0.000, 0.000, 0.500]]
}


10.
{
  "formula": "Cs3NdTm2S6",
  "functional": "PBE",
  "state": "relaxed",
  "e_form_raw_ev_per_fu": -21.8,
  "sg": "C2/m",
  "crystal_system": "monoclinic",
  "mass_density_g_cm3": 5.01,
  "lattice": [[3.568, -6.179, 0.000], [3.568, 6.179, 0.000], [-2.380, 0.000, 8.069]],
  "species": ["Cs", "Cs", "Cs", "Nd", "Tm", "Tm", "S", "S", "S", "S", "S", "S"],
  "fractional_positions": [[0.000, 0.000, 0.000], [0.335, 0.665, 0.000], [0.665, 0.335, 0.000], [0.500, 0.500, 0.500], [0.167, 0.833, 0.500], [0.833, 0.167, 0.500], [0.094, 0.439, 0.318], [0.215, 0.215, 0.681], [0.439, 0.094, 0.318], [0.561, 0.906, 0.682], [0.785, 0.785, 0.319], [0.906, 0.561, 0.682]]
}


11.
{
  "formula": "PaGa2Pd3",
  "functional": "PBE",
  "state": "relaxed",
  "polymorph_energy_mev_per_atom": 0.0,
  "delta_e_f_mev_per_atom": -623,
  "sg": "P6_3/mmc",
  "crystal_system": "hexagonal",
  "mass_density_g_cm3": 10.78,
  "lattice": [[4.456, 0.000, 0.000], [-2.228, 3.859, 0.000], [0.000, 0.000, 12.362]],
  "species": ["Pa", "Pa", "Ga", "Ga", "Ga", "Ga", "Pd", "Pd", "Pd", "Pd", "Pd", "Pd"],
  "fractional_positions": [[0.000, 0.000, 0.250], [0.000, 0.000, 0.750], [0.333, 0.667, 0.087], [0.333, 0.667, 0.413], [0.667, 0.333, 0.587], [0.667, 0.333, 0.913], [0.000, 0.000, 0.000], [0.000, 0.000, 0.500], [0.333, 0.667, 0.628], [0.333, 0.667, 0.872], [0.667, 0.333, 0.128], [0.667, 0.333, 0.372]]
}


12.
{
  "formula": "La2Pm6Nd3Ho",
  "functional": "PBE",
  "state": "relaxed",
  "delta_e_f_mev_per_atom": 16,
  "sg": "C2/m",
  "crystal_system": "monoclinic",
  "mass_density_g_cm3": 6.93,
  "lattice": [[3.176, -5.499, 0.000], [3.176, 5.499, 0.000], [-2.133, 0.000, 11.975]],
  "species": ["La", "La", "Pm", "Pm", "Pm", "Pm", "Pm", "Pm", "Nd", "Nd", "Nd", "Ho"],
  "fractional_positions": [[0.167, 0.833, 0.000], [0.833, 0.167, 0.000], [0.085, 0.417, 0.750], [0.251, 0.251, 0.251], [0.417, 0.085, 0.750], [0.583, 0.915, 0.250], [0.749, 0.749, 0.749], [0.915, 0.583, 0.250], [0.000, 0.000, 0.500], [0.334, 0.666, 0.500], [0.666, 0.334, 0.500], [0.500, 0.500, 0.000]]
}


13.
{
  "formula": "CuReHg3",
  "functional": "PBE",
  "state": "relaxed",
  "polymorph_energy_mev_per_atom": 0.0,
  "delta_e_f_mev_per_atom": 1294,
  "sg": "Pm-3m",
  "crystal_system": "cubic",
  "mass_density_g_cm3": 9.29,
  "lattice": [[5.339, 0.000, 0.000], [0.000, 5.339, 0.000], [0.000, 0.000, 5.339]],
  "species": ["Cu", "Re", "Hg", "Hg", "Hg"],
  "fractional_positions": [[0.000, 0.000, 0.000], [0.500, 0.500, 0.500], [0.000, 0.500, 0.500], [0.500, 0.000, 0.500], [0.500, 0.500, 0.000]]
}


14.
{
  "formula": "Sc2Ni2Pd",
  "functional": "PBE",
  "state": "relaxed",
  "polymorph_energy_mev_per_atom": 0.0,
  "delta_e_f_mev_per_atom": -596,
  "sg": "P4/mbm",
  "crystal_system": "tetragonal",
  "mass_density_g_cm3": 6.52,
  "lattice": [[6.902, 0.000, 0.000], [0.000, 6.902, 0.000], [0.000, 0.000, 3.353]],
  "species": ["Sc", "Sc", "Sc", "Sc", "Ni", "Ni", "Ni", "Ni", "Pd", "Pd"],
  "fractional_positions": [[0.179, 0.321, 0.000], [0.321, 0.821, 0.000], [0.679, 0.179, 0.000], [0.821, 0.679, 0.000], [0.122, 0.622, 0.500], [0.378, 0.122, 0.500], [0.622, 0.878, 0.500], [0.878, 0.378, 0.500], [0.000, 0.000, 0.500], [0.500, 0.500, 0.500]]
}


15.
{
  "formula": "Co2CuTe",
  "functional": "PBE",
  "state": "relaxed",
  "e_form_raw_ev_per_fu": 1.6,
  "sg": "F-43m",
  "crystal_system": "cubic",
  "mass_density_g_cm3": 9.09,
  "lattice": [[0.000, 3.045, 3.045], [3.045, 0.000, 3.045], [3.045, 3.045, 0.000]],
  "species": ["Co", "Co", "Cu", "Te"],
  "fractional_positions": [[0.000, 0.000, 0.000], [0.250, 0.250, 0.250], [0.500, 0.500, 0.500], [0.750, 0.750, 0.750]]
}


16.
{
  "formula": "La3CoS",
  "functional": "PBE",
  "state": "relaxed",
  "e_form_raw_ev_per_fu": -1.8,
  "sg": "Pm-3m",
  "crystal_system": "cubic",
  "mass_density_g_cm3": 5.81,
  "lattice": [[5.255, 0.000, 0.000], [0.000, 5.255, 0.000], [0.000, 0.000, 5.255]],
  "species": ["La", "La", "La", "Co", "S"],
  "fractional_positions": [[0.000, 0.000, 0.500], [0.000, 0.500, 0.000], [0.500, 0.000, 0.000], [0.000, 0.000, 0.000], [0.500, 0.500, 0.500]]
}


17.
{
  "formula": "SrDyHgPd",
  "functional": "PBE",
  "state": "relaxed",
  "delta_e_f_mev_per_atom": -502,
  "sg": "F-43m",
  "crystal_system": "cubic",
  "mass_density_g_cm3": 8.98,
  "lattice": [[0.000, 3.721, 3.721], [3.721, 0.000, 3.721], [3.721, 3.721, 0.000]],
  "species": ["Sr", "Dy", "Hg", "Pd"],
  "fractional_positions": [[0.000, 0.000, 0.000], [0.500, 0.500, 0.500], [0.750, 0.750, 0.750], [0.250, 0.250, 0.250]]
}


18.
{
  "formula": "PrPtAu",
  "functional": "PBE",
  "state": "relaxed",
  "polymorph_energy_mev_per_atom": 29.8,
  "delta_e_f_mev_per_atom": -877,
  "sg": "P2_1/c",
  "crystal_system": "monoclinic",
  "mass_density_g_cm3": 12.97,
  "lattice": [[6.686, 0.000, 0.000], [0.000, 5.645, 0.000], [-2.721, 0.000, 7.231]],
  "species": ["Pr", "Pr", "Pr", "Pr", "Pt", "Pt", "Pt", "Pt", "Au", "Au", "Au", "Au"],
  "fractional_positions": [[0.196, 0.123, 0.374], [0.196, 0.377, 0.874], [0.804, 0.623, 0.126], [0.804, 0.877, 0.626], [0.166, 0.642, 0.514], [0.166, 0.858, 0.014], [0.834, 0.142, 0.986], [0.834, 0.358, 0.486], [0.429, 0.588, 0.298], [0.429, 0.912, 0.798], [0.571, 0.088, 0.202], [0.571, 0.412, 0.702]]
}


19.
{
  "formula": "SrGa2F",
  "functional": "PBE",
  "state": "relaxed",
  "polymorph_energy_mev_per_atom": 930.2,
  "e_form_raw_ev_per_fu": -1.8,
  "sg": "Fm-3m",
  "crystal_system": "cubic",
  "mass_density_g_cm3": 4.31,
  "lattice": [[0.000, 3.620, 3.620], [3.620, 0.000, 3.620], [3.620, 3.620, 0.000]],
  "species": ["Sr", "Ga", "Ga", "F"],
  "fractional_positions": [[0.000, 0.000, 0.000], [0.250, 0.250, 0.250], [0.750, 0.750, 0.750], [0.500, 0.500, 0.500]]
}


20.
{
  "formula": "NdYHgAu",
  "functional": "PBE",
  "state": "relaxed",
  "polymorph_energy_mev_per_atom": 0.0,
  "delta_e_f_mev_per_atom": -645,
  "sg": "P4mm",
  "crystal_system": "tetragonal",
  "mass_density_g_cm3": 10.15,
  "lattice": [[3.711, 0.000, 0.000], [0.000, 3.711, 0.000], [0.000, 0.000, 7.493]],
  "species": ["Nd", "Y", "Hg", "Au"],
  "fractional_positions": [[0.000, 0.000, 0.000], [0.000, 0.000, 0.479], [0.500, 0.500, 0.728], [0.500, 0.500, 0.260]]
}


21.
{
  "formula": "KYSnB2",
  "functional": "PBE",
  "state": "relaxed",
  "delta_e_f_mev_per_atom": 1611,
  "sg": "P4/mmm",
  "crystal_system": "tetragonal",
  "mass_density_g_cm3": 3.37,
  "lattice": [[4.853, 0.000, 0.000], [0.000, 4.853, 0.000], [0.000, 0.000, 5.621]],
  "species": ["K", "Y", "Sn", "B", "B"],
  "fractional_positions": [[0.000, 0.000, 0.000], [0.000, 0.000, 0.500], [0.500, 0.500, 0.000], [0.000, 0.500, 0.500], [0.500, 0.000, 0.500]]
}


22.
{
  "formula": "Rb3Na2Pb9",
  "functional": "PBE",
  "state": "relaxed",
  "delta_e_f_mev_per_atom": -122,
  "sg": "Immm",
  "crystal_system": "orthorhombic",
  "mass_density_g_cm3": 7.18,
  "lattice": [[-2.648, 6.027, 7.847], [2.648, -6.027, 7.847], [2.648, 6.027, -7.847]],
  "species": ["Rb", "Rb", "Rb", "Na", "Na", "Pb", "Pb", "Pb", "Pb", "Pb", "Pb", "Pb", "Pb", "Pb"],
  "fractional_positions": [[0.000, 0.000, 0.000], [0.295, 0.295, 0.000], [0.705, 0.705, 0.000], [0.325, 0.500, 0.825], [0.675, 0.500, 0.175], [0.019, 0.659, 0.360], [0.148, 0.859, 0.290], [0.299, 0.659, 0.640], [0.431, 0.141, 0.290], [0.500, 0.000, 0.500], [0.569, 0.859, 0.710], [0.701, 0.341, 0.360], [0.852, 0.141, 0.710], [0.981, 0.341, 0.640]]
}


23.
{
  "formula": "Ca2DyHg9",
  "functional": "PBE",
  "state": "relaxed",
  "delta_e_f_mev_per_atom": -353,
  "sg": "P4/mmm",
  "crystal_system": "tetragonal",
  "mass_density_g_cm3": 11.21,
  "lattice": [[4.645, 0.000, 0.000], [0.000, 4.645, 0.000], [0.000, 0.000, 14.058]],
  "species": ["Ca", "Ca", "Dy", "Hg", "Hg", "Hg", "Hg", "Hg", "Hg", "Hg", "Hg", "Hg"],
  "fractional_positions": [[0.000, 0.000, 0.166], [0.000, 0.000, 0.834], [0.000, 0.000, 0.500], [0.000, 0.500, 0.000], [0.000, 0.500, 0.337], [0.000, 0.500, 0.663], [0.500, 0.000, 0.000], [0.500, 0.000, 0.337], [0.500, 0.000, 0.663], [0.500, 0.500, 0.167], [0.500, 0.500, 0.500], [0.500, 0.500, 0.833]]
}


24.
{
  "formula": "ErTmGe2",
  "functional": "PBE",
  "state": "relaxed",
  "polymorph_energy_mev_per_atom": 0.0,
  "delta_e_f_mev_per_atom": -848,
  "sg": "Amm2",
  "crystal_system": "orthorhombic",
  "mass_density_g_cm3": 9.06,
  "lattice": [[3.937, 0.000, 0.000], [0.000, 2.111, 5.308], [0.000, -2.111, 5.308]],
  "species": ["Er", "Tm", "Ge", "Ge"],
  "fractional_positions": [[0.000, 0.000, 0.000], [0.500, 0.724, 0.724], [0.000, 0.275, 0.275], [0.500, 0.449, 0.449]]
}


25.
{
  "formula": "Al2PtSe",
  "functional": "PBE",
  "state": "relaxed",
  "e_form_raw_ev_per_fu": -1.1,
  "sg": "C2/m",
  "crystal_system": "monoclinic",
  "mass_density_g_cm3": 8.16,
  "lattice": [[2.835, -3.649, 0.000], [2.835, 3.649, 0.000], [-0.527, 0.000, 3.225]],
  "species": ["Al", "Al", "Pt", "Se"],
  "fractional_positions": [[0.000, 0.500, 0.000], [0.500, 0.000, 0.000], [0.000, 0.000, 0.500], [0.500, 0.500, 0.500]]
}


26.
{
  "formula": "CrNi4Rh2",
  "functional": "PBE",
  "state": "relaxed",
  "polymorph_energy_mev_per_atom": 0.0,
  "delta_e_f_mev_per_atom": 182,
  "sg": "Cmce",
  "crystal_system": "orthorhombic",
  "mass_density_g_cm3": 9.11,
  "lattice": [[4.201, -2.404, 0.000], [4.201, 2.404, 0.000], [0.000, 0.000, 8.892]],
  "species": ["Cr", "Cr", "Ni", "Ni", "Ni", "Ni", "Ni", "Ni", "Ni", "Ni", "Rh", "Rh", "Rh", "Rh"],
  "fractional_positions": [[0.000, 0.000, 0.000], [0.500, 0.500, 0.500], [0.001, 0.499, 0.750], [0.002, 0.998, 0.718], [0.498, 0.502, 0.218], [0.499, 0.001, 0.250], [0.501, 0.999, 0.750], [0.502, 0.498, 0.782], [0.998, 0.002, 0.282], [0.999, 0.501, 0.250], [0.189, 0.189, 0.500], [0.311, 0.311, 0.000], [0.689, 0.689, 0.000], [0.811, 0.811, 0.500]]
}